Entry 1:
4
Lattice="5.133 0.000 0.000 2.567 4.446 0.000 2.567 1.482 4.191" Properties=species:S:1:pos:R:3 comment="PBE NaHoAlCd, relaxed" dos_ef_per_ev_cell=1.89 energy_ev_per_cell=-10.9 total_magnetization_mub_per_atom=0.000 ef_ev_per_atom=-0.0945 pbc="T T T"
Na 5.133 2.964 2.096
Al 2.567 1.482 1.048
Ho 0.000 0.000 0.000
Cd 7.700 4.446 3.144

Entry 2:
4
Lattice="-0.845 1.467 -3.045 -1.515 -3.861 -1.439 -3.658 0.896 1.447" Properties=species:S:1:pos:R:3 comment="PBE Ta2CoAs, relaxed" dos_ef_per_ev_cell=3.08 energy_ev_per_cell=-35.8 total_magnetization_mub_per_atom=0.000 ef_ev_per_atom=-0.0843 pbc="T T T"
As -2.252 1.181 -0.799
Co -2.586 -1.483 0.004
Ta 0.000 0.000 0.000
Ta -1.180 -1.197 -2.242

Entry 3:
9
Lattice="-5.425 -2.459 -4.041 4.498 -4.421 -3.348 -0.081 -2.216 7.867" Properties=species:S:1:pos:R:3 comment="PBE Tl2Au2I5, relaxed" dos_ef_per_ev_cell=1.96 energy_ev_per_cell=-21.0 total_magnetization_mub_per_atom=0.000 formation_energy_uncorrected_ev_per_atom=-0.221 relative_energy_mev_per_atom=47.0 pbc="T T T"
Tl -1.736 -3.651 -1.858
Tl 0.728 -5.445 2.336
Au -4.119 -4.003 1.555
Au 3.111 -5.093 -1.077
I 0.351 -6.097 -3.172
I -1.359 -2.999 3.649
I -2.471 -5.898 0.495
I 1.463 -3.198 -0.018
I 0.000 0.000 0.000